a:
# ZrAuF2

An optimized crystal structure of ZrAuF2 (PBE, Alexandria).

Cell lengths 4.194, 4.194, 7.852 Å; angles 74.51, 74.51, 90.00 degrees
Sites, in units of the cell vectors:
Au (0.000, 0.000, 0.000)
Au (0.750, 0.250, 0.500)
Zr (0.500, 0.500, 0.000)
Zr (0.250, 0.750, 0.500)
F (0.474, 0.125, 0.250)
F (0.276, 0.625, 0.250)
F (0.375, 0.526, 0.750)
F (0.875, 0.724, 0.750)


b:
# ZrAuF2

An optimized crystal structure of ZrAuF2 (PBE, Alexandria).

Cell lengths 9.036, 9.036, 9.036 Å; angles 18.23, 18.23, 18.23 degrees
Sites, in units of the cell vectors:
Au (0.000, 0.000, 0.000)
Zr (0.500, 0.500, 0.500)
F (0.890, 0.890, 0.890)
F (0.110, 0.110, 0.110)


Pick b: it beats the second-best structure by 101 meV/atom.


a:
# Fe5Au3

An optimized crystal structure of Fe5Au3 (PBE, Alexandria).

Cell lengths 7.618, 8.033, 4.687 Å; angles 90.00, 90.00, 121.89 degrees
Sites, in units of the cell vectors:
Au (0.000, 0.380, 0.750)
Au (0.000, 0.619, 0.250)
Au (0.391, 0.988, 0.750)
Au (0.391, 0.403, 0.250)
Au (0.609, 0.012, 0.250)
Au (0.609, 0.597, 0.750)
Fe (0.000, 0.132, 0.250)
Fe (0.000, 0.868, 0.750)
Fe (0.228, 0.013, 0.250)
Fe (0.227, 0.215, 0.750)
Fe (0.341, 0.671, 0.000)
Fe (0.341, 0.671, 0.500)
Fe (0.659, 0.329, 0.000)
Fe (0.659, 0.329, 0.500)
Fe (0.771, 0.987, 0.750)
Fe (0.773, 0.785, 0.250)


b:
# Fe5Au3

An optimized crystal structure of Fe5Au3 (PBE, Alexandria).

Cell lengths 7.352, 7.352, 7.422 Å; angles 96.73, 96.73, 140.27 degrees
Sites, in units of the cell vectors:
Au (0.172, 0.329, 0.501)
Au (0.250, 0.250, 0.000)
Au (0.329, 0.829, 0.156)
Au (0.672, 0.172, 0.845)
Au (0.750, 0.750, 0.000)
Au (0.829, 0.672, 0.501)
Fe (0.075, 0.753, 0.828)
Fe (0.245, 0.074, 0.322)
Fe (0.251, 0.751, 0.499)
Fe (0.253, 0.575, 0.828)
Fe (0.427, 0.255, 0.678)
Fe (0.574, 0.745, 0.322)
Fe (0.748, 0.426, 0.173)
Fe (0.750, 0.250, 0.502)
Fe (0.755, 0.927, 0.678)
Fe (0.926, 0.248, 0.173)


Pick a: it beats the second-best structure by 16 meV/atom.